Compound: CaCd8Au6
Source: the Alexandria database
Functional: PBE
Structure: relaxed

Cell lengths 7.462, 7.462, 7.462 Å; angles 67.24, 67.24, 67.24 degrees
Fractional positions:
1 Ca 0.000 0.000 0.000
2 Cd 0.444 0.791 0.118
3 Cd 0.791 0.118 0.444
4 Cd 0.118 0.444 0.791
5 Cd 0.556 0.209 0.882
6 Cd 0.209 0.882 0.556
7 Cd 0.882 0.556 0.209
8 Cd 0.667 0.667 0.667
9 Cd 0.333 0.333 0.333
10 Au 0.945 0.290 0.605
11 Au 0.290 0.605 0.945
12 Au 0.605 0.945 0.290
13 Au 0.055 0.710 0.395
14 Au 0.710 0.395 0.055
15 Au 0.395 0.055 0.710

The calculation puts the total energy at -32.82 eV for the cell shown. The space group is R-3, No. 148. The formation energy is -0.255 eV per atom.

Compound: Dy2Np2Ni15
Source: the Alexandria database
Functional: PBE
Structure: relaxed

Cell lengths 6.427, 6.427, 6.427 Å; angles 81.81, 81.81, 81.81 degrees
Fractional positions:
1 Dy 0.356 0.356 0.356
2 Dy 0.644 0.644 0.644
3 Np 0.091 0.091 0.091
4 Np 0.909 0.909 0.909
5 Ni 0.500 0.000 0.000
6 Ni 0.000 0.000 0.500
7 Ni 0.000 0.500 0.000
8 Ni 0.000 0.683 0.317
9 Ni 0.683 0.317 0.000
10 Ni 0.317 0.000 0.683
11 Ni 0.317 0.683 0.000
12 Ni 0.683 0.000 0.317
13 Ni 0.000 0.317 0.683
14 Ni 0.161 0.658 0.658
15 Ni 0.658 0.658 0.161
16 Ni 0.658 0.161 0.658
17 Ni 0.839 0.342 0.342
18 Ni 0.342 0.342 0.839
19 Ni 0.342 0.839 0.342

The calculation puts the total energy at -125.99 eV for the cell shown. The space group is R-3m, No. 166. The formation energy is -0.220 eV per atom.

Compound: Hf2ZrPaP4
Source: the Alexandria database
Functional: PBE
Structure: relaxed

Cell lengths 3.808, 6.538, 6.521 Å; angles 70.27, 90.00, 90.00 degrees
Fractional positions:
1 Hf 0.000 0.000 0.000
2 Hf 0.500 0.000 0.500
3 Zr 0.000 0.500 0.500
4 Pa 0.500 0.500 0.000
5 P 0.000 0.764 0.740
6 P 0.000 0.236 0.260
7 P 0.500 0.758 0.252
8 P 0.500 0.242 0.748

The calculation puts the total energy at -70.00 eV for the cell shown. The space group is P2/m, No. 10. The formation energy is -1.301 eV per atom.

Compound: HoZnHg
Source: the Alexandria database
Functional: PBE
Structure: relaxed

Cell lengths 3.406, 3.406, 6.189 Å; angles 105.97, 105.97, 90.00 degrees
Site moments in Bohr magnetons follow the coordinates.
Fractional positions:
1 Zn 0.623 0.623 0.245  0.00
2 Hg 0.272 0.272 0.543  0.00
3 Ho 0.956 0.956 0.912  0.10

The calculation puts the total energy at -6.92 eV for the cell shown. The space group is I4mm, No. 107. The formation energy is -0.256 eV per atom.

Compound: ScFe3Tc
Source: the Alexandria database
Functional: PBE
Structure: relaxed

Cell lengths 4.429, 4.429, 4.429 Å; angles 90.00, 90.00, 90.00 degrees
Site moments in Bohr magnetons follow the coordinates.
Fractional positions:
1 Sc 0.500 0.500 0.500  -0.30
2 Tc 0.000 0.000 0.000  -0.24
3 Fe 0.000 0.500 0.000  1.65
4 Fe 0.000 0.000 0.500  1.55
5 Fe 0.500 0.000 0.000  1.37

For the relative energy among the computed polymorphs, the calculation gives 0 meV/atom. The calculation puts the total energy at -37.45 eV for the cell shown. The space group is Pm-3m, No. 221. The formation energy is 0.927 eV per atom.

Compound: SrLiAs2
Source: the Alexandria database
Functional: PBE
Structure: relaxed

Cell lengths 5.898, 5.898, 5.898 Å; angles 137.11, 137.11, 62.27 degrees
Fractional positions:
1 As 0.000 0.000 0.000
2 As 0.250 0.750 0.500
3 Li 0.500 0.500 0.000
4 Sr 0.750 0.250 0.500

For the relative energy among the computed polymorphs, the calculation gives 347 meV/atom. The calculation puts the total energy at -14.59 eV for the cell shown. The space group is I-4m2, No. 119. The formation energy is -0.425 eV per atom.

Compound: BiSb2TeI
Source: the Alexandria database
Functional: PBE
Structure: relaxed

Cell lengths 5.815, 5.815, 5.650 Å; angles 90.00, 90.00, 90.00 degrees
Fractional positions:
1 I 0.000 0.000 0.000
2 Sb 0.000 0.500 0.000
3 Sb 0.500 0.000 0.000
4 Te 0.000 0.000 0.500
5 Bi 0.500 0.500 0.500

For the relative energy among the computed polymorphs, the calculation gives 275 meV/atom. For the uncorrected formation energy, the calculation gives 0.978 eV/atom. The calculation puts the total energy at -11.93 eV for the cell shown. The space group is P4/mmm, No. 123.

Compound: CoTc2Hg
Source: the Alexandria database
Functional: PBE
Structure: relaxed

Cell lengths 4.425, 4.425, 4.425 Å; angles 60.00, 60.00, 60.00 degrees
Site moments in Bohr magnetons follow the coordinates.
Fractional positions:
1 Co 0.500 0.500 0.500  1.59
2 Hg 0.250 0.250 0.250  -0.01
3 Tc 0.000 0.000 0.000  -0.19
4 Tc 0.750 0.750 0.750  0.82

The calculation puts the total energy at -25.72 eV for the cell shown. The space group is F-43m, No. 216. The formation energy is 0.605 eV per atom.